Entry 1:
DFT (SCAN) results for a crystal of LiCaP relaxed with PBEsol.

Cell: 4.3419 6.4783 9.6778 Å, 90.00 90.00 90.00°
Element x y z (fractional)
P  0.7500  0.7478  0.8989
Ca  0.2500  0.0228  0.8486
P  0.7500  0.7522  0.3989
Ca  0.2500  0.4772  0.3486
P  0.2500  0.2522  0.1011
Li  0.2500  0.9452  0.4333
Ca  0.7500  0.5228  0.6514
Ca  0.7500  0.9772  0.1514
Li  0.7500  0.4452  0.0667
Li  0.7500  0.0548  0.5667
Li  0.2500  0.5548  0.9333
P  0.2500  0.2478  0.6011

## Properties
- ΔH_f (0 K) (eV/atom) = -1.09
- SG = Pnma

Entry 2:
DFT (SCAN) results for a crystal of Y2AsS relaxed with PBEsol.

Cell: 3.9787 3.9787 6.8389 Å, 73.09 73.09 60.00°
Element x y z (fractional)
S  0.5000  0.5000  0.5000
Y  0.7511  0.7511  0.7467
Y  0.2489  0.2489  0.2533
As  0.0000  0.0000  0.0000

## Properties
- SG = R-3m
- raw formation energy (eV/f.u.) = -8.22

Entry 3:
DFT (SCAN) results for a crystal of BeRu relaxed with PBEsol.

Cell: 2.7386 2.7386 6.8363 Å, 90.00 90.00 120.00°
Element x y z (fractional)
Be  0.6667  0.3333  0.8929
Be  0.3333  0.6667  0.1071
Ru  0.6667  0.3333  0.3495
Ru  0.3333  0.6667  0.6505

## Properties
- ΔH_f (0 K) (eV/atom) = 0.02
- SG = P-3m1